1.
# PBEsol Y2CdIr2, relaxed
data_Y2CdIr2
_chemical_formula_sum 'Y2 Cd1 Ir2'
_symmetry_space_group_name_H-M 'P 1'
_symmetry_Int_Tables_number 1
_symmetry_space_group_name_Hall 'P 1'
_cell_length_a 3.8198
_cell_length_b 3.8198
_cell_length_c 8.2258
_cell_angle_alpha 103.43
_cell_angle_beta 103.43
_cell_angle_gamma 90.00
loop_
_atom_site_label
_atom_site_type_symbol
_atom_site_fract_x
_atom_site_fract_y
_atom_site_fract_z
Ir1 Ir 0.2500 0.7500 0.5000
Ir2 Ir 0.7500 0.2500 0.5000
Cd1 Cd 0.0000 0.0000 0.0000
Y1 Y 0.6192 0.6192 0.2383
Y2 Y 0.3808 0.3808 0.7617
# **DOS at the Fermi energy**: 4.4 states/eV/f.u.
# **Volume**: 113 Å³/f.u.
# **Calculated formation energy**: -248 meV per atom
# **Crystal system**: tetragonal
# **Space group**: I4/mmm, No. 139

=====

2.
# PBEsol Y4CdIr, relaxed
data_Y4CdIr
_chemical_formula_sum 'Y16 Cd4 Ir4'
_symmetry_space_group_name_H-M 'P 1'
_symmetry_Int_Tables_number 1
_symmetry_space_group_name_Hall 'P 1'
_cell_length_a 9.5012
_cell_length_b 9.5012
_cell_length_c 9.5012
_cell_angle_alpha 60.00
_cell_angle_beta 60.00
_cell_angle_gamma 60.00
loop_
_atom_site_label
_atom_site_type_symbol
_atom_site_fract_x
_atom_site_fract_y
_atom_site_fract_z
Y1 Y 0.4386 0.4386 0.0614
Y2 Y 0.4386 0.0614 0.4386
Cd1 Cd 0.4197 0.4197 0.4197
Cd2 Cd 0.7409 0.4197 0.4197
Y3 Y 0.4386 0.0614 0.0614
Cd3 Cd 0.4197 0.4197 0.7409
Y4 Y 0.8095 0.8095 0.1905
Y5 Y 0.1905 0.8095 0.1905
Y6 Y 0.8095 0.1905 0.8095
Cd4 Cd 0.4197 0.7409 0.4197
Y7 Y 0.0614 0.0614 0.4386
Y8 Y 0.8095 0.1905 0.1905
Ir1 Ir 0.8583 0.8583 0.4252
Y9 Y 0.1905 0.8095 0.8095
Ir2 Ir 0.8583 0.4252 0.8583
Y10 Y 0.0614 0.4386 0.4386
Y11 Y 0.6503 0.6503 0.6503
Y12 Y 0.6503 0.0490 0.6503
Y13 Y 0.0614 0.4386 0.0614
Y14 Y 0.6503 0.6503 0.0490
Y15 Y 0.1905 0.1905 0.8095
Ir3 Ir 0.8583 0.8583 0.8583
Ir4 Ir 0.4252 0.8583 0.8583
Y16 Y 0.0490 0.6503 0.6503
# **DOS at the Fermi energy**: 4.8 states/eV/f.u.
# **Volume**: 152 Å³/f.u.
# **Calculated formation energy**: -523 meV per atom
# **Crystal system**: cubic
# **Space group**: F-43m, No. 216

=====

3.
# PBEsol YCd2Ir, relaxed
data_YCd2Ir
_chemical_formula_sum 'Y1 Cd2 Ir1'
_symmetry_space_group_name_H-M 'P 1'
_symmetry_Int_Tables_number 1
_symmetry_space_group_name_Hall 'P 1'
_cell_length_a 4.1737
_cell_length_b 4.1737
_cell_length_c 5.3242
_cell_angle_alpha 113.08
_cell_angle_beta 113.08
_cell_angle_gamma 90.00
loop_
_atom_site_label
_atom_site_type_symbol
_atom_site_fract_x
_atom_site_fract_y
_atom_site_fract_z
Cd1 Cd 0.2500 0.7500 0.5000
Y1 Y 0.0000 0.0000 0.0000
Cd2 Cd 0.7500 0.2500 0.5000
Ir1 Ir 0.5000 0.5000 0.0000
# **DOS at the Fermi energy**: 1.3 states/eV/f.u.
# **Volume**: 77 Å³/f.u.
# **Calculated formation energy**: -328 meV per atom
# **Crystal system**: tetragonal
# **Space group**: I4/mmm, No. 139

=====

4.
# PBEsol Y2CdIr, relaxed
data_Y2CdIr
_chemical_formula_sum 'Y2 Cd1 Ir1'
_symmetry_space_group_name_H-M 'P 1'
_symmetry_Int_Tables_number 1
_symmetry_space_group_name_Hall 'P 1'
_cell_length_a 3.5696
_cell_length_b 4.9233
_cell_length_c 4.9233
_cell_angle_alpha 90.00
_cell_angle_beta 90.00
_cell_angle_gamma 90.00
loop_
_atom_site_label
_atom_site_type_symbol
_atom_site_fract_x
_atom_site_fract_y
_atom_site_fract_z
Y1 Y 0.0000 0.5000 0.0000
Y2 Y 0.0000 0.0000 0.5000
Cd1 Cd 0.5000 0.5000 0.5000
Ir1 Ir 0.5000 0.0000 0.0000
# **DOS at the Fermi energy**: 2.5 states/eV/f.u.
# **Volume**: 87 Å³/f.u.
# **Calculated formation energy**: -523 meV per atom
# **Crystal system**: tetragonal
# **Space group**: P4/mmm, No. 123

=====

5.
# PBEsol YCd2Ir, relaxed
data_YCd2Ir
_chemical_formula_sum 'Y1 Cd2 Ir1'
_symmetry_space_group_name_H-M 'P 1'
_symmetry_Int_Tables_number 1
_symmetry_space_group_name_Hall 'P 1'
_cell_length_a 3.1857
_cell_length_b 4.7631
_cell_length_c 6.0087
_cell_angle_alpha 112.86
_cell_angle_beta 104.68
_cell_angle_gamma 91.69
loop_
_atom_site_label
_atom_site_type_symbol
_atom_site_fract_x
_atom_site_fract_y
_atom_site_fract_z
Cd1 Cd 0.0000 0.0000 0.5000
Cd2 Cd 0.5000 0.5000 0.5000
Ir1 Ir 0.5000 0.0000 0.0000
Y1 Y 0.0000 0.5000 0.0000
# **DOS at the Fermi energy**: 2.4 states/eV/f.u.
# **Volume**: 80 Å³/f.u.
# **Calculated formation energy**: -62 meV per atom
# **Crystal system**: monoclinic
# **Space group**: C2/m, No. 12

=====

6.
# PBEsol ZnCdIr2, relaxed
data_ZnCdIr2
_chemical_formula_sum 'Zn1 Cd1 Ir2'
_symmetry_space_group_name_H-M 'P 1'
_symmetry_Int_Tables_number 1
_symmetry_space_group_name_Hall 'P 1'
_cell_length_a 4.4137
_cell_length_b 4.4137
_cell_length_c 4.4137
_cell_angle_alpha 60.00
_cell_angle_beta 60.00
_cell_angle_gamma 60.00
loop_
_atom_site_label
_atom_site_type_symbol
_atom_site_fract_x
_atom_site_fract_y
_atom_site_fract_z
Ir1 Ir 0.0000 0.0000 0.0000
Ir2 Ir 0.7500 0.7500 0.7500
Zn1 Zn 0.2500 0.2500 0.2500
Cd1 Cd 0.5000 0.5000 0.5000
# **DOS at the Fermi energy**: 5.3 states/eV/f.u.
# **Volume**: 61 Å³/f.u.
# **Calculated formation energy**: 286 meV per atom
# **Crystal system**: cubic
# **Space group**: F-43m, No. 216

=====

7.
# PBEsol ZnCdIr3, relaxed
data_ZnCdIr3
_chemical_formula_sum 'Zn1 Cd1 Ir3'
_symmetry_space_group_name_H-M 'P 1'
_symmetry_Int_Tables_number 1
_symmetry_space_group_name_Hall 'P 1'
_cell_length_a 4.4824
_cell_length_b 4.4824
_cell_length_c 4.4824
_cell_angle_alpha 90.00
_cell_angle_beta 90.00
_cell_angle_gamma 90.00
loop_
_atom_site_label
_atom_site_type_symbol
_atom_site_fract_x
_atom_site_fract_y
_atom_site_fract_z
Ir1 Ir 0.0000 0.5000 0.0000
Zn1 Zn 0.0000 0.0000 0.0000
Ir2 Ir 0.0000 0.0000 0.5000
Ir3 Ir 0.5000 0.0000 0.0000
Cd1 Cd 0.5000 0.5000 0.5000
# **DOS at the Fermi energy**: 5.9 states/eV/f.u.
# **Volume**: 90 Å³/f.u.
# **Calculated formation energy**: 1437 meV per atom
# **Crystal system**: cubic
# **Space group**: Pm-3m, No. 221

=====

8.
# PBEsol ZnCdIr2, relaxed
data_ZnCdIr2
_chemical_formula_sum 'Zn1 Cd1 Ir2'
_symmetry_space_group_name_H-M 'P 1'
_symmetry_Int_Tables_number 1
_symmetry_space_group_name_Hall 'P 1'
_cell_length_a 2.7534
_cell_length_b 2.7534
_cell_length_c 9.0052
_cell_angle_alpha 90.00
_cell_angle_beta 90.00
_cell_angle_gamma 117.97
loop_
_atom_site_label
_atom_site_type_symbol
_atom_site_fract_x
_atom_site_fract_y
_atom_site_fract_z
Ir1 Ir 0.0000 0.0000 0.2667
Ir2 Ir 0.0000 0.0000 0.7333
Cd1 Cd 0.5000 0.5000 0.0000
Zn1 Zn 0.5000 0.5000 0.5000
# **DOS at the Fermi energy**: 3.5 states/eV/f.u.
# **Volume**: 60 Å³/f.u.
# **Calculated formation energy**: 113 meV per atom
# **Crystal system**: orthorhombic
# **Space group**: Cmmm, No. 65

=====

9.
# PBEsol ZnCdIr2, relaxed
data_ZnCdIr2
_chemical_formula_sum 'Zn1 Cd1 Ir2'
_symmetry_space_group_name_H-M 'P 1'
_symmetry_Int_Tables_number 1
_symmetry_space_group_name_Hall 'P 1'
_cell_length_a 2.7514
_cell_length_b 4.8387
_cell_length_c 5.3027
_cell_angle_alpha 116.57
_cell_angle_beta 104.10
_cell_angle_gamma 91.99
loop_
_atom_site_label
_atom_site_type_symbol
_atom_site_fract_x
_atom_site_fract_y
_atom_site_fract_z
Ir1 Ir 0.5000 0.5000 0.5000
Zn1 Zn 0.0000 0.5000 0.0000
Cd1 Cd 0.5000 0.0000 0.0000
Ir2 Ir 0.0000 0.0000 0.5000
# **DOS at the Fermi energy**: 2.9 states/eV/f.u.
# **Volume**: 60 Å³/f.u.
# **Calculated formation energy**: 152 meV per atom
# **Crystal system**: monoclinic
# **Space group**: C2/m, No. 12

=====

10.
# PBEsol ZrCd2Ir, relaxed
data_ZrCd2Ir
_chemical_formula_sum 'Zr1 Cd2 Ir1'
_symmetry_space_group_name_H-M 'P 1'
_symmetry_Int_Tables_number 1
_symmetry_space_group_name_Hall 'P 1'
_cell_length_a 3.5036
_cell_length_b 4.3921
_cell_length_c 5.5599
_cell_angle_alpha 113.26
_cell_angle_beta 108.37
_cell_angle_gamma 90.00
loop_
_atom_site_label
_atom_site_type_symbol
_atom_site_fract_x
_atom_site_fract_y
_atom_site_fract_z
Cd1 Cd 0.7668 0.7668 0.5336
Zr1 Zr 0.0000 0.5000 0.0000
Ir1 Ir 0.5000 0.0000 0.0000
Cd2 Cd 0.2332 0.2332 0.4664
# **DOS at the Fermi energy**: 2.5 states/eV/f.u.
# **Volume**: 74 Å³/f.u.
# **Calculated formation energy**: -149 meV per atom
# **Crystal system**: orthorhombic
# **Space group**: Immm, No. 71

=====

11.
# PBEsol ZrCd2Ir, relaxed
data_ZrCd2Ir
_chemical_formula_sum 'Zr1 Cd2 Ir1'
_symmetry_space_group_name_H-M 'P 1'
_symmetry_Int_Tables_number 1
_symmetry_space_group_name_Hall 'P 1'
_cell_length_a 2.9813
_cell_length_b 2.9813
_cell_length_c 9.7974
_cell_angle_alpha 81.25
_cell_angle_beta 81.25
_cell_angle_gamma 60.00
loop_
_atom_site_label
_atom_site_type_symbol
_atom_site_fract_x
_atom_site_fract_y
_atom_site_fract_z
Zr1 Zr 0.2430 0.2430 0.2709
Cd1 Cd 0.7553 0.7553 0.7342
Cd2 Cd 0.9999 0.9999 0.0003
Ir1 Ir 0.5018 0.5018 0.4945
# **DOS at the Fermi energy**: 2.5 states/eV/f.u.
# **Volume**: 74 Å³/f.u.
# **Calculated formation energy**: -49 meV per atom
# **Crystal system**: trigonal
# **Space group**: R3m, No. 160

=====

12.
# PBEsol Zr3CdIr, relaxed
data_Zr3CdIr
_chemical_formula_sum 'Zr3 Cd1 Ir1'
_symmetry_space_group_name_H-M 'P 1'
_symmetry_Int_Tables_number 1
_symmetry_space_group_name_Hall 'P 1'
_cell_length_a 5.0016
_cell_length_b 5.0016
_cell_length_c 5.0016
_cell_angle_alpha 90.00
_cell_angle_beta 90.00
_cell_angle_gamma 90.00
loop_
_atom_site_label
_atom_site_type_symbol
_atom_site_fract_x
_atom_site_fract_y
_atom_site_fract_z
Zr1 Zr 0.5000 0.0000 0.0000
Cd1 Cd 0.5000 0.5000 0.5000
Zr2 Zr 0.0000 0.5000 0.0000
Zr3 Zr 0.0000 0.0000 0.5000
Ir1 Ir 0.0000 0.0000 0.0000
# **DOS at the Fermi energy**: 8.3 states/eV/f.u.
# **Volume**: 125 Å³/f.u.
# **Calculated formation energy**: 165 meV per atom
# **Crystal system**: cubic
# **Space group**: Pm-3m, No. 221

=====

13.
# PBEsol ZrCdIr2, relaxed
data_ZrCdIr2
_chemical_formula_sum 'Zr1 Cd1 Ir2'
_symmetry_space_group_name_H-M 'P 1'
_symmetry_Int_Tables_number 1
_symmetry_space_group_name_Hall 'P 1'
_cell_length_a 4.5650
_cell_length_b 4.5650
_cell_length_c 4.5650
_cell_angle_alpha 60.00
_cell_angle_beta 60.00
_cell_angle_gamma 60.00
loop_
_atom_site_label
_atom_site_type_symbol
_atom_site_fract_x
_atom_site_fract_y
_atom_site_fract_z
Ir1 Ir 0.0000 0.0000 0.0000
Cd1 Cd 0.5000 0.5000 0.5000
Zr1 Zr 0.7500 0.7500 0.7500
Ir2 Ir 0.2500 0.2500 0.2500
# **DOS at the Fermi energy**: 5.3 states/eV/f.u.
# **Volume**: 67 Å³/f.u.
# **Calculated formation energy**: -12 meV per atom
# **Crystal system**: cubic
# **Space group**: F-43m, No. 216

=====

14.
# PBEsol ZrCdIr2, relaxed
data_ZrCdIr2
_chemical_formula_sum 'Zr1 Cd1 Ir2'
_symmetry_space_group_name_H-M 'P 1'
_symmetry_Int_Tables_number 1
_symmetry_space_group_name_Hall 'P 1'
_cell_length_a 3.1657
_cell_length_b 3.4694
_cell_length_c 6.0959
_cell_angle_alpha 90.00
_cell_angle_beta 90.00
_cell_angle_gamma 90.00
loop_
_atom_site_label
_atom_site_type_symbol
_atom_site_fract_x
_atom_site_fract_y
_atom_site_fract_z
Zr1 Zr 0.5000 0.5000 0.0000
Ir1 Ir 0.0000 0.0000 0.7559
Ir2 Ir 0.0000 0.0000 0.2441
Cd1 Cd 0.5000 0.5000 0.5000
# **DOS at the Fermi energy**: 1.2 states/eV/f.u.
# **Volume**: 67 Å³/f.u.
# **Calculated formation energy**: -458 meV per atom
# **Crystal system**: orthorhombic
# **Space group**: Pmmm, No. 47

=====

15.
# PBEsol K3Cd, relaxed
data_K3Cd
_chemical_formula_sum 'K3 Cd1'
_symmetry_space_group_name_H-M 'P 1'
_symmetry_Int_Tables_number 1
_symmetry_space_group_name_Hall 'P 1'
_cell_length_a 4.4510
_cell_length_b 4.4510
_cell_length_c 12.5492
_cell_angle_alpha 90.00
_cell_angle_beta 90.00
_cell_angle_gamma 120.00
loop_
_atom_site_label
_atom_site_type_symbol
_atom_site_fract_x
_atom_site_fract_y
_atom_site_fract_z
K1 K 0.0000 0.0000 0.5000
K2 K 0.3333 0.6667 0.8045
K3 K 0.3333 0.6667 0.1955
Cd1 Cd 0.0000 0.0000 0.0000
# **DOS at the Fermi energy**: 3.2 states/eV/f.u.
# **Volume**: 215 Å³/f.u.
# **Calculated formation energy**: 99 meV per atom
# **Crystal system**: hexagonal
# **Space group**: P-6m2, No. 187

=====

16.
# PBEsol K2Cd, relaxed
data_K2Cd
_chemical_formula_sum 'K2 Cd1'
_symmetry_space_group_name_H-M 'P 1'
_symmetry_Int_Tables_number 1
_symmetry_space_group_name_Hall 'P 1'
_cell_length_a 4.1961
_cell_length_b 4.1961
_cell_length_c 8.3493
_cell_angle_alpha 104.55
_cell_angle_beta 104.55
_cell_angle_gamma 90.00
loop_
_atom_site_label
_atom_site_type_symbol
_atom_site_fract_x
_atom_site_fract_y
_atom_site_fract_z
K1 K 0.8641 0.8641 0.7282
K2 K 0.1359 0.1359 0.2718
Cd1 Cd 0.5000 0.5000 0.0000
# **DOS at the Fermi energy**: 1.9 states/eV/f.u.
# **Volume**: 137 Å³/f.u.
# **Calculated formation energy**: 53 meV per atom
# **Crystal system**: tetragonal
# **Space group**: I4/mmm, No. 139

=====

17.
# PBEsol K5Cd, relaxed
data_K5Cd
_chemical_formula_sum 'K5 Cd1'
_symmetry_space_group_name_H-M 'P 1'
_symmetry_Int_Tables_number 1
_symmetry_space_group_name_Hall 'P 1'
_cell_length_a 4.5150
_cell_length_b 7.9268
_cell_length_c 10.8273
_cell_angle_alpha 111.61
_cell_angle_beta 90.00
_cell_angle_gamma 106.55
loop_
_atom_site_label
_atom_site_type_symbol
_atom_site_fract_x
_atom_site_fract_y
_atom_site_fract_z
Cd1 Cd 0.9730 0.9460 0.9455
K1 K 0.6375 0.2750 0.2262
K2 K 0.3409 0.6818 0.0725
K3 K 0.6028 0.2056 0.8155
K4 K 0.9719 0.9439 0.4438
K5 K 0.3071 0.6143 0.6633
# **DOS at the Fermi energy**: 4.1 states/eV/f.u.
# **Volume**: 343 Å³/f.u.
# **Calculated formation energy**: 34 meV per atom
# **Crystal system**: monoclinic
# **Space group**: Cm, No. 8

=====

18.
# PBEsol K2Cd, relaxed
data_K2Cd
_chemical_formula_sum 'K4 Cd2'
_symmetry_space_group_name_H-M 'P 1'
_symmetry_Int_Tables_number 1
_symmetry_space_group_name_Hall 'P 1'
_cell_length_a 6.1865
_cell_length_b 6.1865
_cell_length_c 7.8041
_cell_angle_alpha 90.00
_cell_angle_beta 90.00
_cell_angle_gamma 120.00
loop_
_atom_site_label
_atom_site_type_symbol
_atom_site_fract_x
_atom_site_fract_y
_atom_site_fract_z
K1 K 0.6667 0.3333 0.7500
K2 K 0.0000 0.0000 0.0000
K3 K 0.0000 0.0000 0.5000
K4 K 0.3333 0.6667 0.2500
Cd1 Cd 0.3333 0.6667 0.7500
Cd2 Cd 0.6667 0.3333 0.2500
# **DOS at the Fermi energy**: 1.5 states/eV/f.u.
# **Volume**: 129 Å³/f.u.
# **Calculated formation energy**: 63 meV per atom
# **Crystal system**: hexagonal
# **Space group**: P6_3/mmc, No. 194

=====

19.
# PBEsol K2Cd, relaxed
data_K2Cd
_chemical_formula_sum 'K4 Cd2'
_symmetry_space_group_name_H-M 'P 1'
_symmetry_Int_Tables_number 1
_symmetry_space_group_name_Hall 'P 1'
_cell_length_a 4.0690
_cell_length_b 8.0691
_cell_length_c 8.9908
_cell_angle_alpha 105.35
_cell_angle_beta 103.08
_cell_angle_gamma 90.00
loop_
_atom_site_label
_atom_site_type_symbol
_atom_site_fract_x
_atom_site_fract_y
_atom_site_fract_z
K1 K 0.8457 0.4029 0.6914
K2 K 0.1543 0.5971 0.3086
K3 K 0.1154 0.0662 0.2308
K4 K 0.8846 0.9338 0.7692
Cd1 Cd 0.4980 0.6792 0.9961
Cd2 Cd 0.5020 0.3208 0.0039
# **DOS at the Fermi energy**: 1.8 states/eV/f.u.
# **Volume**: 138 Å³/f.u.
# **Calculated formation energy**: 32 meV per atom
# **Crystal system**: monoclinic
# **Space group**: C2/m, No. 12

=====

20.
# PBEsol KCd, relaxed
data_KCd
_chemical_formula_sum 'K2 Cd2'
_symmetry_space_group_name_H-M 'P 1'
_symmetry_Int_Tables_number 1
_symmetry_space_group_name_Hall 'P 1'
_cell_length_a 4.3163
_cell_length_b 5.8969
_cell_length_c 6.7742
_cell_angle_alpha 115.79
_cell_angle_beta 108.58
_cell_angle_gamma 90.00
loop_
_atom_site_label
_atom_site_type_symbol
_atom_site_fract_x
_atom_site_fract_y
_atom_site_fract_z
K1 K 0.3989 0.1486 0.7979
Cd1 Cd 0.8313 0.5802 0.6625
Cd2 Cd 0.1687 0.4198 0.3375
K2 K 0.6011 0.8514 0.2021
# **DOS at the Fermi energy**: 1.0 states/eV/f.u.
# **Volume**: 73 Å³/f.u.
# **Calculated formation energy**: 13 meV per atom
# **Crystal system**: monoclinic
# **Space group**: C2/m, No. 12